[1]
Material: RbNaPb2I6
Method: DFT, PBE
State: relaxed

The uncorrected formation energy is -0.9174 eV per atom.

The space group is R3 (No. 146, hexagonal axes) and the conventional cell measures 8.4737, 8.4737 and 22.3751 Å, with angles of 90.00, 90.00 and 120.00 degrees. The inequivalent atoms are Rb at (0.0000, 0.0000, 0.0000), Na at (0.0000, 0.0000, 0.4837), Pb at (0.0000, 0.0000, 0.2874), Pb at (0.0000, 0.0000, 0.7953), I at (0.0066, 0.3574, 0.5476) and I at (0.0170, 0.6073, 0.0519).

---

[2]
Material: TaP
Method: DFT, PBE
State: relaxed

For the formation energy, the calculation gives 0.35 eV/f.u.

The space group is Fd-3m (No. 227, origin choice 2) and the conventional cell measures 6.3097, 6.3097 and 6.3097 Å, with angles of 90.00, 90.00 and 90.00 degrees. The inequivalent atoms are Ta at (0.1250, 0.1250, 0.1250) and P at (0.1250, 0.1250, 0.6250).

---

[3]
Material: Pt2S3Br
Method: DFT, PBE
State: relaxed

The uncorrected formation energy is -0.2542 eV per atom.

The space group is C2/m (No. 12) and the conventional cell measures 13.0084, 7.1516 and 5.9764 Å, with angles of 90.00, 103.62 and 90.00 degrees. The inequivalent atoms are Pt at (0.0000, 0.0000, 0.0000), Pt at (0.0000, 0.5000, 0.0000), Pt at (0.2500, 0.2500, 0.0000), S at (0.1043, 0.2386, 0.1912), S at (0.1417, 0.5000, 0.7978) and Br at (0.1822, 0.0000, 0.7000).